[1]
# LuAg3, relaxed, DFT PBE
data_LuAg3
_chemical_formula_sum 'Lu1 Ag3'
_cell_length_a 4.437
_cell_length_b 4.437
_cell_length_c 4.145
_cell_angle_alpha 90.00
_cell_angle_beta 90.00
_cell_angle_gamma 90.00
_symmetry_space_group_name_H-M 'P 1'
_symmetry_Int_Tables_number 1
loop_
_symmetry_equiv_pos_as_xyz
'x,y,z'
loop_
_atom_site_label
_atom_site_type_symbol
_atom_site_fract_x
_atom_site_fract_y
_atom_site_fract_z
Lu1 Lu 0.000 0.000 0.000
Ag1 Ag 0.000 0.500 0.500
Ag2 Ag 0.500 0.000 0.500
Ag3 Ag 0.500 0.500 0.000
# calculated formation energy = -0.1111 eV per atom
# symmetry = P4/mmm
# D(E_F) = 0.620 states/eV/atom
# spin magnetization = 0.0 μB/cell
# crystal system = tetragonal


[2]
# LiMn3Si, relaxed, DFT PBE
data_LiMn3Si
_chemical_formula_sum 'Li1 Mn3 Si1'
_cell_length_a 4.030
_cell_length_b 4.030
_cell_length_c 4.030
_cell_angle_alpha 90.00
_cell_angle_beta 90.00
_cell_angle_gamma 90.00
_symmetry_space_group_name_H-M 'P 1'
_symmetry_Int_Tables_number 1
loop_
_symmetry_equiv_pos_as_xyz
'x,y,z'
loop_
_atom_site_label
_atom_site_type_symbol
_atom_site_fract_x
_atom_site_fract_y
_atom_site_fract_z
Li1 Li 0.000 0.000 0.000
Mn1 Mn 0.000 0.000 0.500
Mn2 Mn 0.000 0.500 0.000
Mn3 Mn 0.500 0.000 0.000
Si1 Si 0.500 0.500 0.500
# raw formation energy = 21.26 kcal/mol of atoms
# symmetry = Pm-3m
# D(E_F) = 0.839 states/eV/atom
# spin magnetization = 8.2 μB/cell
# crystal system = cubic


[3]
# PrCd2Pb, relaxed, DFT PBE
data_PrCd2Pb
_chemical_formula_sum 'Pr1 Cd2 Pb1'
_cell_length_a 3.800
_cell_length_b 3.800
_cell_length_c 7.751
_cell_angle_alpha 90.00
_cell_angle_beta 90.00
_cell_angle_gamma 90.00
_symmetry_space_group_name_H-M 'P 1'
_symmetry_Int_Tables_number 1
loop_
_symmetry_equiv_pos_as_xyz
'x,y,z'
loop_
_atom_site_label
_atom_site_type_symbol
_atom_site_fract_x
_atom_site_fract_y
_atom_site_fract_z
Pr1 Pr 0.000 0.000 0.000
Cd1 Cd 0.500 0.500 0.262
Cd2 Cd 0.500 0.500 0.738
Pb1 Pb 0.000 0.000 0.500
# calculated formation energy = -0.2013 eV per atom
# symmetry = P4/mmm
# D(E_F) = 0.564 states/eV/atom
# spin magnetization = 0.4 μB/cell
# crystal system = tetragonal


[4]
# Sm2LuHg, relaxed, DFT PBE
data_Sm2LuHg
_chemical_formula_sum 'Sm2 Lu1 Hg1'
_cell_length_a 5.451
_cell_length_b 5.451
_cell_length_c 5.451
_cell_angle_alpha 60.00
_cell_angle_beta 60.00
_cell_angle_gamma 60.00
_symmetry_space_group_name_H-M 'P 1'
_symmetry_Int_Tables_number 1
loop_
_symmetry_equiv_pos_as_xyz
'x,y,z'
loop_
_atom_site_label
_atom_site_type_symbol
_atom_site_fract_x
_atom_site_fract_y
_atom_site_fract_z
Sm1 Sm 0.250 0.250 0.250
Sm2 Sm 0.750 0.750 0.750
Lu1 Lu 0.000 0.000 0.000
Hg1 Hg 0.500 0.500 0.500
# calculated formation energy = -0.0824 eV per atom
# symmetry = Fm-3m
# D(E_F) = 1.316 states/eV/atom
# spin magnetization = 0.0 μB/cell
# crystal system = cubic


[5]
# YCd2Pt, relaxed, DFT PBE
data_YCd2Pt
_chemical_formula_sum 'Y1 Cd2 Pt1'
_cell_length_a 4.883
_cell_length_b 4.883
_cell_length_c 4.883
_cell_angle_alpha 60.00
_cell_angle_beta 60.00
_cell_angle_gamma 60.00
_symmetry_space_group_name_H-M 'P 1'
_symmetry_Int_Tables_number 1
loop_
_symmetry_equiv_pos_as_xyz
'x,y,z'
loop_
_atom_site_label
_atom_site_type_symbol
_atom_site_fract_x
_atom_site_fract_y
_atom_site_fract_z
Y1 Y 0.000 0.000 0.000
Cd1 Cd 0.250 0.250 0.250
Cd2 Cd 0.750 0.750 0.750
Pt1 Pt 0.500 0.500 0.500
# calculated formation energy = -0.4534 eV per atom
# symmetry = Fm-3m
# D(E_F) = 0.453 states/eV/atom
# spin magnetization = 0.0 μB/cell
# crystal system = cubic


[6]
# HfIn3, relaxed, DFT PBE
data_HfIn3
_chemical_formula_sum 'Hf1 In3'
_cell_length_a 6.096
_cell_length_b 6.096
_cell_length_c 6.096
_cell_angle_alpha 149.03
_cell_angle_beta 63.16
_cell_angle_gamma 126.45
_symmetry_space_group_name_H-M 'P 1'
_symmetry_Int_Tables_number 1
loop_
_symmetry_equiv_pos_as_xyz
'x,y,z'
loop_
_atom_site_label
_atom_site_type_symbol
_atom_site_fract_x
_atom_site_fract_y
_atom_site_fract_z
Hf1 Hf 0.000 0.000 0.000
In1 In 0.426 0.684 0.742
In2 In 0.524 0.024 0.500
In3 In 0.942 0.684 0.258
# calculated formation energy = -0.0589 eV per atom
# symmetry = Imm2
# D(E_F) = 0.365 states/eV/atom
# spin magnetization = 0.0 μB/cell
# crystal system = orthorhombic


[7]
# NbAlTe2Rh, relaxed, DFT PBE
data_NbAlTe2Rh
_chemical_formula_sum 'Nb1 Al1 Te2 Rh1'
_cell_length_a 5.439
_cell_length_b 5.439
_cell_length_c 4.807
_cell_angle_alpha 90.00
_cell_angle_beta 90.00
_cell_angle_gamma 90.00
_symmetry_space_group_name_H-M 'P 1'
_symmetry_Int_Tables_number 1
loop_
_symmetry_equiv_pos_as_xyz
'x,y,z'
loop_
_atom_site_label
_atom_site_type_symbol
_atom_site_fract_x
_atom_site_fract_y
_atom_site_fract_z
Nb1 Nb 0.000 0.000 0.000
Al1 Al 0.500 0.500 0.500
Te1 Te 0.000 0.500 0.000
Te2 Te 0.500 0.000 0.000
Rh1 Rh 0.000 0.000 0.500
# raw formation energy = 13.28 kcal/mol of atoms
# symmetry = P4/mmm
# D(E_F) = 1.083 states/eV/atom
# spin magnetization = 0.2 μB/cell
# crystal system = tetragonal


[8]
# PW, relaxed, DFT PBE
data_PW
_chemical_formula_sum 'P4 W4'
_cell_length_a 7.024
_cell_length_b 7.024
_cell_length_c 7.024
_cell_angle_alpha 92.85
_cell_angle_beta 92.85
_cell_angle_gamma 154.25
_symmetry_space_group_name_H-M 'P 1'
_symmetry_Int_Tables_number 1
loop_
_symmetry_equiv_pos_as_xyz
'x,y,z'
loop_
_atom_site_label
_atom_site_type_symbol
_atom_site_fract_x
_atom_site_fract_y
_atom_site_fract_z
P1 P 0.091 0.211 0.302
P2 P 0.211 0.909 0.120
P3 P 0.789 0.091 0.880
P4 P 0.909 0.789 0.698
W1 W 0.126 0.686 0.812
W2 W 0.314 0.126 0.440
W3 W 0.686 0.874 0.560
W4 W 0.874 0.314 0.188
# calculated formation energy = 0.1709 eV per atom
# symmetry = I4/m
# D(E_F) = 0.611 states/eV/atom
# spin magnetization = 0.0 μB/cell
# crystal system = tetragonal


[9]
# ZrZn2Ru, relaxed, DFT PBE
data_ZrZn2Ru
_chemical_formula_sum 'Zr2 Zn4 Ru2'
_cell_length_a 10.191
_cell_length_b 10.191
_cell_length_c 10.191
_cell_angle_alpha 158.64
_cell_angle_beta 158.64
_cell_angle_gamma 30.39
_symmetry_space_group_name_H-M 'P 1'
_symmetry_Int_Tables_number 1
loop_
_symmetry_equiv_pos_as_xyz
'x,y,z'
loop_
_atom_site_label
_atom_site_type_symbol
_atom_site_fract_x
_atom_site_fract_y
_atom_site_fract_z
Zr1 Zr 0.000 0.000 0.000
Zr2 Zr 0.750 0.250 0.500
Zn1 Zn 0.156 0.625 0.031
Zn2 Zn 0.375 0.406 0.531
Zn3 Zn 0.594 0.125 0.969
Zn4 Zn 0.875 0.844 0.469
Ru1 Ru 0.250 0.750 0.500
Ru2 Ru 0.500 0.500 0.000
# calculated formation energy = 0.0176 eV per atom
# symmetry = I-42d
# D(E_F) = 0.506 states/eV/atom
# spin magnetization = 0.0 μB/cell
# crystal system = tetragonal


[10]
# TiCdW3, relaxed, DFT PBE
data_TiCdW3
_chemical_formula_sum 'Ti1 Cd1 W3'
_cell_length_a 4.626
_cell_length_b 4.626
_cell_length_c 4.626
_cell_angle_alpha 90.00
_cell_angle_beta 90.00
_cell_angle_gamma 90.00
_symmetry_space_group_name_H-M 'P 1'
_symmetry_Int_Tables_number 1
loop_
_symmetry_equiv_pos_as_xyz
'x,y,z'
loop_
_atom_site_label
_atom_site_type_symbol
_atom_site_fract_x
_atom_site_fract_y
_atom_site_fract_z
Ti1 Ti 0.000 0.000 0.000
Cd1 Cd 0.500 0.500 0.500
W1 W 0.000 0.000 0.500
W2 W 0.000 0.500 0.000
W3 W 0.500 0.000 0.000
# calculated formation energy = 1.8055 eV per atom
# symmetry = Pm-3m
# D(E_F) = 0.430 states/eV/atom
# spin magnetization = 0.0 μB/cell
# crystal system = cubic


[11]
# InIO, relaxed, DFT PBE
data_InIO
_chemical_formula_sum 'In2 I2 O2'
_cell_length_a 3.677
_cell_length_b 3.677
_cell_length_c 12.313
_cell_angle_alpha 90.00
_cell_angle_beta 90.00
_cell_angle_gamma 119.96
_symmetry_space_group_name_H-M 'P 1'
_symmetry_Int_Tables_number 1
loop_
_symmetry_equiv_pos_as_xyz
'x,y,z'
loop_
_atom_site_label
_atom_site_type_symbol
_atom_site_fract_x
_atom_site_fract_y
_atom_site_fract_z
In1 In 0.159 0.841 0.500
In2 In 0.841 0.159 0.000
I1 I 0.172 0.828 0.819
I2 I 0.828 0.172 0.319
O1 O 0.493 0.507 0.548
O2 O 0.507 0.493 0.048
# raw formation energy = -17.30 kcal/mol of atoms
# symmetry = Cmc2_1
# D(E_F) = 0.206 states/eV/atom
# spin magnetization = 0.0 μB/cell
# crystal system = orthorhombic


[12]
# FePd, relaxed, DFT PBE
data_FePd
_chemical_formula_sum 'Fe4 Pd4'
_cell_length_a 5.004
_cell_length_b 5.004
_cell_length_c 5.065
_cell_angle_alpha 90.00
_cell_angle_beta 90.00
_cell_angle_gamma 90.00
_symmetry_space_group_name_H-M 'P 1'
_symmetry_Int_Tables_number 1
loop_
_symmetry_equiv_pos_as_xyz
'x,y,z'
loop_
_atom_site_label
_atom_site_type_symbol
_atom_site_fract_x
_atom_site_fract_y
_atom_site_fract_z
Fe1 Fe 0.182 0.182 0.000
Fe2 Fe 0.318 0.682 0.500
Fe3 Fe 0.682 0.318 0.500
Fe4 Fe 0.818 0.818 0.000
Pd1 Pd 0.191 0.191 0.500
Pd2 Pd 0.309 0.691 0.000
Pd3 Pd 0.691 0.309 0.000
Pd4 Pd 0.809 0.809 0.500
# calculated formation energy = 0.4096 eV per atom
# symmetry = P4_2/mnm
# D(E_F) = 1.121 states/eV/atom
# spin magnetization = 14.2 μB/cell
# crystal system = tetragonal